# Tb12MgSc6 GGA-PBE relaxed
data_Tb12MgSc6
_chemical_formula_sum 'Tb12 Mg1 Sc6'
_cell_length_a 8.277
_cell_length_b 8.277
_cell_length_c 8.277
_cell_angle_alpha 88.01
_cell_angle_beta 88.01
_cell_angle_gamma 88.01
_space_group_name_H-M_alt 'P 1'
_space_group_IT_number 1
loop_
_space_group_symop_operation_xyz
'x,y,z'
loop_
_atom_site_label
_atom_site_fract_x
_atom_site_fract_y
_atom_site_fract_z
Tb1 0.788 0.541 0.433
Tb2 0.433 0.788 0.541
Tb3 0.541 0.433 0.788
Tb4 0.212 0.459 0.567
Tb5 0.567 0.212 0.459
Tb6 0.459 0.567 0.212
Tb7 0.010 0.177 0.368
Tb8 0.823 0.632 0.990
Tb9 0.632 0.990 0.823
Tb10 0.990 0.823 0.632
Tb11 0.177 0.368 0.010
Tb12 0.368 0.010 0.177
Mg1 0.000 0.000 0.000
Sc1 0.742 0.900 0.283
Sc2 0.717 0.258 0.100
Sc3 0.100 0.717 0.258
Sc4 0.258 0.100 0.717
Sc5 0.283 0.742 0.900
Sc6 0.900 0.283 0.742
# Formation energy from the elements = 0.14 eV/atom
# M_tot = 0.0 μB/f.u.
# Space group = R-3



# Pm5Sm12Er2 GGA-PBE relaxed
data_Pm5Sm12Er2
_chemical_formula_sum 'Pm5 Sm12 Er2'
_cell_length_a 7.131
_cell_length_b 8.758
_cell_length_c 11.728
_cell_angle_alpha 109.11
_cell_angle_beta 107.70
_cell_angle_gamma 90.00
_space_group_name_H-M_alt 'P 1'
_space_group_IT_number 1
loop_
_space_group_symop_operation_xyz
'x,y,z'
loop_
_atom_site_label
_atom_site_fract_x
_atom_site_fract_y
_atom_site_fract_z
Pm1 0.751 0.509 0.502
Pm2 0.649 0.095 0.299
Pm3 0.000 0.500 0.000
Pm4 0.351 0.905 0.701
Pm5 0.249 0.491 0.498
Sm1 0.856 0.936 0.713
Sm2 0.454 0.794 0.402
Sm3 0.948 0.794 0.402
Sm4 0.363 0.384 0.212
Sm5 0.849 0.384 0.212
Sm6 0.548 0.694 0.096
Sm7 0.452 0.306 0.904
Sm8 0.637 0.616 0.788
Sm9 0.151 0.616 0.788
Sm10 0.546 0.206 0.598
Sm11 0.052 0.206 0.598
Sm12 0.144 0.064 0.287
Er1 0.743 0.000 0.000
Er2 0.257 0.000 0.000
# Formation energy from the elements = 0.14 eV/atom
# M_tot = 0.0 μB/f.u.
# Space group = C2/m
# Energy above the most stable polymorph in this dataset = 39 kJ/mol of formula units



# TlRe2Cl GGA-PBE relaxed
data_TlRe2Cl
_chemical_formula_sum 'Tl1 Re2 Cl1'
_cell_length_a 2.966
_cell_length_b 2.966
_cell_length_c 10.356
_cell_angle_alpha 90.00
_cell_angle_beta 90.00
_cell_angle_gamma 119.98
_space_group_name_H-M_alt 'P 1'
_space_group_IT_number 1
loop_
_space_group_symop_operation_xyz
'x,y,z'
loop_
_atom_site_label
_atom_site_fract_x
_atom_site_fract_y
_atom_site_fract_z
Cl1 0.500 0.500 0.809
Re1 0.000 0.000 0.006
Re2 0.500 0.500 0.206
Tl1 0.000 0.000 0.479
# Uncorrected formation energy = 2.40 eV per formula unit
# M_tot = 0.0 μB/f.u.
# Space group = Cmm2
# Energy above the most stable polymorph in this dataset = 147 kJ/mol of formula units



# PdIN2O GGA-PBE relaxed
data_PdIN2O
_chemical_formula_sum 'Pd1 I1 N2 O1'
_cell_length_a 4.041
_cell_length_b 4.041
_cell_length_c 4.038
_cell_angle_alpha 90.00
_cell_angle_beta 90.00
_cell_angle_gamma 90.00
_space_group_name_H-M_alt 'P 1'
_space_group_IT_number 1
loop_
_space_group_symop_operation_xyz
'x,y,z'
loop_
_atom_site_label
_atom_site_fract_x
_atom_site_fract_y
_atom_site_fract_z
I1 0.500 0.500 0.500
O1 0.000 0.000 0.500
Pd1 0.000 0.000 0.000
N1 0.000 0.500 0.000
N2 0.500 0.000 0.000
# Uncorrected formation energy = 7.39 eV per formula unit
# M_tot = 0.8 μB/f.u.
# Space group = P4/mmm



# Ta2Pd3 GGA-PBE relaxed
data_Ta2Pd3
_chemical_formula_sum 'Ta2 Pd3'
_cell_length_a 2.849
_cell_length_b 2.849
_cell_length_c 10.203
_cell_angle_alpha 98.03
_cell_angle_beta 98.03
_cell_angle_gamma 90.00
_space_group_name_H-M_alt 'P 1'
_space_group_IT_number 1
loop_
_space_group_symop_operation_xyz
'x,y,z'
loop_
_atom_site_label
_atom_site_fract_x
_atom_site_fract_y
_atom_site_fract_z
Ta1 0.898 0.898 0.796
Ta2 0.102 0.102 0.204
Pd1 0.698 0.698 0.397
Pd2 0.302 0.302 0.603
Pd3 0.500 0.500 0.000
# Formation energy from the elements = -0.33 eV/atom
# M_tot = 0.0 μB/f.u.
# Space group = I4/mmm



# CeSm2Tc2 GGA-PBE relaxed
data_CeSm2Tc2
_chemical_formula_sum 'Ce2 Sm4 Tc4'
_cell_length_a 5.835
_cell_length_b 5.835
_cell_length_c 8.082
_cell_angle_alpha 81.19
_cell_angle_beta 81.19
_cell_angle_gamma 62.32
_space_group_name_H-M_alt 'P 1'
_space_group_IT_number 1
loop_
_space_group_symop_operation_xyz
'x,y,z'
loop_
_atom_site_label
_atom_site_fract_x
_atom_site_fract_y
_atom_site_fract_z
Ce1 0.120 0.880 0.250
Ce2 0.880 0.120 0.750
Sm1 0.477 0.221 0.149
Sm2 0.779 0.523 0.351
Sm3 0.523 0.779 0.851
Sm4 0.221 0.477 0.649
Tc1 0.724 0.003 0.520
Tc2 0.997 0.276 0.980
Tc3 0.276 0.997 0.480
Tc4 0.003 0.724 0.020
# Formation energy from the elements = -0.05 eV/atom
# M_tot = 0.0 μB/f.u.
# Space group = C2/c



# Ba2Al4ZnAg3 GGA-PBE relaxed
data_Ba2Al4ZnAg3
_chemical_formula_sum 'Ba2 Al4 Zn1 Ag3'
_cell_length_a 4.618
_cell_length_b 4.618
_cell_length_c 11.180
_cell_angle_alpha 90.00
_cell_angle_beta 90.00
_cell_angle_gamma 90.00
_space_group_name_H-M_alt 'P 1'
_space_group_IT_number 1
loop_
_space_group_symop_operation_xyz
'x,y,z'
loop_
_atom_site_label
_atom_site_fract_x
_atom_site_fract_y
_atom_site_fract_z
Ba1 0.500 0.000 0.253
Ba2 0.000 0.500 0.747
Al1 0.500 0.500 0.000
Al2 0.000 0.000 0.000
Al3 0.500 0.000 0.622
Al4 0.000 0.500 0.378
Zn1 0.500 0.500 0.500
Ag1 0.000 0.000 0.500
Ag2 0.500 0.000 0.873
Ag3 0.000 0.500 0.127
# Formation energy from the elements = -0.20 eV/atom
# M_tot = 0.0 μB/f.u.
# Space group = P-4m2



# Tl2OsO GGA-PBE relaxed
data_Tl2OsO
_chemical_formula_sum 'Tl4 Os2 O2'
_cell_length_a 6.769
_cell_length_b 6.769
_cell_length_c 5.835
_cell_angle_alpha 54.55
_cell_angle_beta 54.55
_cell_angle_gamma 90.00
_space_group_name_H-M_alt 'P 1'
_space_group_IT_number 1
loop_
_space_group_symop_operation_xyz
'x,y,z'
loop_
_atom_site_label
_atom_site_fract_x
_atom_site_fract_y
_atom_site_fract_z
Tl1 0.576 0.125 0.250
Tl2 0.174 0.625 0.250
Tl3 0.375 0.424 0.750
Tl4 0.875 0.826 0.750
Os1 0.000 0.000 0.000
Os2 0.750 0.250 0.500
O1 0.500 0.500 0.000
O2 0.250 0.750 0.500
# Uncorrected formation energy = 2.80 eV per formula unit
# M_tot = 1.5 μB/f.u.
# Space group = I-42d
# Energy above the most stable polymorph in this dataset = 0 kJ/mol of formula units



# BaAs2RhSe8 GGA-PBE relaxed
data_BaAs2RhSe8
_chemical_formula_sum 'Ba1 As2 Rh1 Se8'
_cell_length_a 6.105
_cell_length_b 6.105
_cell_length_c 9.424
_cell_angle_alpha 90.00
_cell_angle_beta 90.00
_cell_angle_gamma 120.00
_space_group_name_H-M_alt 'P 1'
_space_group_IT_number 1
loop_
_space_group_symop_operation_xyz
'x,y,z'
loop_
_atom_site_label
_atom_site_fract_x
_atom_site_fract_y
_atom_site_fract_z
Ba1 0.000 0.000 0.000
As1 0.667 0.333 0.266
As2 0.333 0.667 0.734
Rh1 0.000 0.000 0.500
Se1 0.333 0.667 0.980
Se2 0.286 0.351 0.335
Se3 0.649 0.934 0.335
Se4 0.667 0.333 0.020
Se5 0.351 0.066 0.665
Se6 0.714 0.649 0.665
Se7 0.934 0.286 0.665
Se8 0.066 0.714 0.335
# Uncorrected formation energy = -4.72 eV per formula unit
# M_tot = 0.0 μB/f.u.
# Space group = P-3



# Cd6Pd3Pt GGA-PBE relaxed
data_Cd6Pd3Pt
_chemical_formula_sum 'Cd12 Pd6 Pt2'
_cell_length_a 7.272
_cell_length_b 6.883
_cell_length_c 7.958
_cell_angle_alpha 90.00
_cell_angle_beta 88.14
_cell_angle_gamma 90.00
_space_group_name_H-M_alt 'P 1'
_space_group_IT_number 1
loop_
_space_group_symop_operation_xyz
'x,y,z'
loop_
_atom_site_label
_atom_site_fract_x
_atom_site_fract_y
_atom_site_fract_z
Cd1 0.649 0.138 0.938
Cd2 0.654 0.150 0.569
Cd3 0.770 0.406 0.244
Cd4 0.230 0.594 0.756
Cd5 0.346 0.850 0.431
Cd6 0.351 0.862 0.062
Cd7 0.149 0.362 0.438
Cd8 0.154 0.350 0.069
Cd9 0.270 0.094 0.744
Cd10 0.730 0.906 0.256
Cd11 0.846 0.650 0.931
Cd12 0.851 0.638 0.562
Pd1 0.549 0.807 0.743
Pd2 0.500 0.500 0.000
Pd3 0.451 0.193 0.257
Pd4 0.049 0.693 0.243
Pd5 0.000 0.000 0.500
Pd6 0.951 0.307 0.757
Pt1 0.500 0.500 0.500
Pt2 0.000 0.000 0.000
# Formation energy from the elements = -0.18 eV/atom
# M_tot = 0.0 μB/f.u.
# Space group = P2_1/c
# Energy above the most stable polymorph in this dataset = 116 kJ/mol of formula units



# PmSmY2Ho6 GGA-PBE relaxed
data_PmSmY2Ho6
_chemical_formula_sum 'Pm2 Sm2 Y4 Ho12'
_cell_length_a 9.451
_cell_length_b 8.798
_cell_length_c 8.798
_cell_angle_alpha 116.92
_cell_angle_beta 93.22
_cell_angle_gamma 93.22
_space_group_name_H-M_alt 'P 1'
_space_group_IT_number 1
loop_
_space_group_symop_operation_xyz
'x,y,z'
loop_
_atom_site_label
_atom_site_fract_x
_atom_site_fract_y
_atom_site_fract_z
Pm1 0.250 0.409 0.591
Pm2 0.750 0.591 0.409
Sm1 0.250 0.968 0.032
Sm2 0.750 0.032 0.968
Y1 0.451 0.802 0.701
Y2 0.049 0.299 0.198
Y3 0.549 0.198 0.299
Y4 0.951 0.701 0.802
Ho1 0.058 0.118 0.756
Ho2 0.442 0.244 0.882
Ho3 0.942 0.882 0.244
Ho4 0.558 0.756 0.118
Ho5 0.318 0.982 0.436
Ho6 0.182 0.564 0.018
Ho7 0.682 0.018 0.564
Ho8 0.818 0.436 0.982
Ho9 0.116 0.708 0.483
Ho10 0.384 0.517 0.292
Ho11 0.884 0.292 0.517
Ho12 0.616 0.483 0.708
# Formation energy from the elements = 0.13 eV/atom
# M_tot = 0.0 μB/f.u.
# Space group = C2/c



# CsNaLi2Pd GGA-PBE relaxed
data_CsNaLi2Pd
_chemical_formula_sum 'Cs1 Na1 Li2 Pd1'
_cell_length_a 5.317
_cell_length_b 6.695
_cell_length_c 5.317
_cell_angle_alpha 90.00
_cell_angle_beta 90.00
_cell_angle_gamma 90.00
_space_group_name_H-M_alt 'P 1'
_space_group_IT_number 1
loop_
_space_group_symop_operation_xyz
'x,y,z'
loop_
_atom_site_label
_atom_site_fract_x
_atom_site_fract_y
_atom_site_fract_z
Cs1 0.000 0.500 0.000
Na1 0.000 0.000 0.000
Pd1 0.500 0.500 0.500
Li1 0.000 0.000 0.500
Li2 0.500 0.000 0.000
# Formation energy from the elements = 0.64 eV/atom
# M_tot = 0.0 μB/f.u.
# Space group = P4/mmm



Look up the M_tot of the sixth one. 0.0 μB/f.u.



Which formula does entry 1 have? Tb12MgSc6